Density functional theory data (PBE-GGA) for PrHoTlHg after structural relaxation.

Cell lengths 3.804, 3.804, 7.738 Å; angles 90.00, 90.00, 90.00 degrees
Positions (direct):
1 Pr 0.000 0.000 0.000
2 Ho 0.000 0.000 0.481
3 Tl 0.500 0.500 0.727
4 Hg 0.500 0.500 0.266

Summary:
density of states at the Fermi level = 4.1 states/eV per cell
E above lowest polymorph = 0.0000 eV per atom
ρ = 10.54 g/cm³
energy = -3.43 eV/atom
volume = 27.99 Å³/atom

---

Density functional theory data (PBE-GGA) for La2MnAl after structural relaxation.

Cell lengths 6.581, 6.581, 6.581 Å; angles 102.11, 102.11, 125.47 degrees
Positions (direct):
1 La 0.074 0.625 0.949
2 La 0.375 0.324 0.449
3 La 0.676 0.125 0.051
4 La 0.875 0.926 0.551
5 Mn 0.000 0.000 0.000
6 Mn 0.750 0.250 0.500
7 Al 0.250 0.750 0.500
8 Al 0.500 0.500 0.000

Summary:
density of states at the Fermi level = 8.5 states/eV per cell
ρ = 5.79 g/cm³
energy = -5.37 eV/atom
volume = 25.79 Å³/atom

---

Density functional theory data (PBE-GGA) for Si3TcP after structural relaxation.

Cell lengths 4.408, 4.408, 4.408 Å; angles 90.00, 90.00, 90.00 degrees
Positions (direct):
1 Si 0.000 0.000 0.500
2 Si 0.000 0.500 0.000
3 Si 0.500 0.000 0.000
4 Tc 0.500 0.500 0.500
5 P 0.000 0.000 0.000

Summary:
density of states at the Fermi level = 3.5 states/eV per cell
E above lowest polymorph = 0.4231 eV per atom
ρ = 4.13 g/cm³
energy = -5.28 eV/atom
E_form (uncorrected) = 1132 meV per atom
volume = 17.13 Å³/atom

---

Density functional theory data (PBE-GGA) for Mn2AlFe after structural relaxation.

Cell lengths 3.935, 3.935, 3.113 Å; angles 90.00, 90.00, 90.00 degrees
Positions (direct):
1 Mn 0.000 0.500 0.000
2 Mn 0.500 0.000 0.000
3 Al 0.000 0.000 0.500
4 Fe 0.500 0.500 0.500

Summary:
density of states at the Fermi level = 3.6 states/eV per cell
ρ = 6.64 g/cm³
energy = -7.72 eV/atom
volume = 12.05 Å³/atom